No. 1
Here is CaScRu after structural relaxation from the Alexandria database. Energies are from PBE.

Calculated values
ρ: 4.4 g cm⁻³
Electronic total energy: -5.975 eV per atom
N(E_F): 3.8 states/eV/cell

a b c (Å): 3.435 6.193 7.228
angles (deg): 73.82 76.46 74.00
Fractional coordinates of all 6 atoms:
Ca (0.000, 0.000, 0.000)
Ca (0.241, 0.050, 0.462)
Sc (0.573, 0.526, 0.333)
Sc (0.822, 0.569, 0.785)
Ru (0.250, 0.425, 0.079)
Ru (0.514, 0.285, 0.684)

No. 2
Here is Ca2ScRu after structural relaxation from the Alexandria database. Energies are from PBE.

Calculated values
ρ: 3.3 g cm⁻³
Electronic total energy: -4.916 eV per atom
N(E_F): 3.6 states/eV/cell

a b c (Å): 8.701 8.701 8.701
angles (deg): 158.02 152.15 35.76
Fractional coordinates of all 4 atoms:
Ca (0.157, 0.157, 0.000)
Ca (0.843, 0.843, 0.000)
Sc (0.500, 0.000, 0.500)
Ru (0.000, 0.500, 0.500)

No. 3
Here is Ca2ScRu after structural relaxation from the Alexandria database. Energies are from PBE.

Calculated values
ρ: 3.9 g cm⁻³
Electronic total energy: -4.471 eV per atom
N(E_F): 5.0 states/eV/cell

a b c (Å): 5.539 5.539 3.466
angles (deg): 90.00 90.00 115.68
Fractional coordinates of all 4 atoms:
Ca (0.000, 0.500, 0.000)
Ca (0.500, 0.000, 0.000)
Sc (0.000, 0.000, 0.500)
Ru (0.500, 0.500, 0.500)